No. 1
Tl5Au3: relaxed, PBE.

Computed properties:
**Density of states at the Fermi level**: 0.331 states/eV/atom
**Magnetization**: 0.00 Bohr magnetons per cell
**Formation enthalpy at 0 K**: -0.018 eV/atom
**E**: -2.73 eV per atom

abc: 7.7222 12.9820 4.3241
angles: 90.00 90.00 90.00
Space group Pbam (No. 55)
Inequivalent atoms, fractional coordinates:
Tl1 0.0000 0.0000 0.0000 (multiplicity 2)
Tl2 0.1704 0.2981 0.0000 (multiplicity 4)
Tl3 0.1855 0.6030 0.5000 (multiplicity 4)
Au1 0.0000 0.5000 0.0000 (multiplicity 2)
Au2 0.0544 0.8278 0.5000 (multiplicity 4)

No. 2
ZrTaPb: relaxed, PBE.

Computed properties:
**Density of states at the Fermi level**: 0.753 states/eV/atom
**Magnetization**: 0.00 Bohr magnetons per cell
**Formation enthalpy at 0 K**: 0.167 eV/atom
**E**: -7.87 eV per atom

abc: 3.6738 5.0868 14.2953
angles: 90.00 90.00 90.00
Space group Fmm2 (No. 42)
Inequivalent atoms, fractional coordinates:
Zr1 0.0000 0.0000 0.0000 (multiplicity 4)
Ta1 0.0000 0.0000 0.3441 (multiplicity 4)
Pb1 0.0000 0.0000 0.6789 (multiplicity 4)

No. 3
CaP2Cl: relaxed, PBE.

Computed properties:
**Density of states at the Fermi level**: 0.495 states/eV/atom
**ΔE_f (raw)**: 0.0608 eV per atom
**Magnetization**: 0.00 Bohr magnetons per cell
**E**: -3.61 eV per atom

abc: 5.0830 5.0830 3.1496
angles: 90.00 90.00 90.00
Space group P4/mmm (No. 123)
Inequivalent atoms, fractional coordinates:
Ca1 0.0000 0.0000 0.0000 (multiplicity 1)
P1 0.0000 0.5000 0.5000 (multiplicity 2)
Cl1 0.5000 0.5000 0.0000 (multiplicity 1)

No. 4
Ho2Er3Sc: relaxed, PBE.

Computed properties:
**Density of states at the Fermi level**: 1.735 states/eV/atom
**Magnetization**: 0.01 Bohr magnetons per cell
**Formation enthalpy at 0 K**: 0.145 eV/atom
**E**: -4.72 eV per atom

abc: 17.3457 3.4117 13.8594
angles: 90.00 117.53 90.00
Space group C2/m (No. 12)
Inequivalent atoms, fractional coordinates:
Ho1 0.1558 0.0000 0.4691 (multiplicity 4)
Ho2 0.1796 0.5000 0.8798 (multiplicity 4)
Er1 0.0383 0.5000 0.2167 (multiplicity 4)
Er2 0.0991 0.0000 0.0256 (multiplicity 4)
Er3 0.2418 0.0000 0.2936 (multiplicity 4)
Sc1 0.0624 0.0000 0.6413 (multiplicity 4)

No. 5
LaZnCuP2: relaxed, PBE.

Computed properties:
**Density of states at the Fermi level**: 0.014 states/eV/atom
**Magnetization**: 0.00 Bohr magnetons per cell
**Formation enthalpy at 0 K**: -0.784 eV/atom
**E**: -5.01 eV per atom

abc: 4.0756 4.0756 6.7822
angles: 90.00 90.00 120.00
Space group P3m1 (No. 156)
Inequivalent atoms, fractional coordinates:
La1 0.0000 0.0000 0.0000 (multiplicity 1)
Zn1 0.6667 0.3333 0.3899 (multiplicity 1)
Cu1 0.3333 0.6667 0.6540 (multiplicity 1)
P1 0.3333 0.6667 0.2820 (multiplicity 1)
P2 0.6667 0.3333 0.7464 (multiplicity 1)

No. 6
K2Li2TiO4: relaxed, PBE.

Computed properties:
**Density of states at the Fermi level**: 0.000 states/eV/atom
**ΔE_f (raw)**: -2.2400 eV per atom
**Magnetization**: 0.00 Bohr magnetons per cell
**E**: -5.99 eV per atom

abc: 5.7390 8.3540 11.8924
angles: 90.00 109.03 90.00
Space group P2_1/c (No. 14)
Inequivalent atoms, fractional coordinates:
K1 0.1718 0.0077 0.3209 (multiplicity 4)
K2 0.2198 0.1999 0.5966 (multiplicity 4)
Li1 0.1296 0.0159 0.9309 (multiplicity 4)
Li2 0.3948 0.5621 0.3075 (multiplicity 4)
Ti1 0.3845 0.7041 0.5804 (multiplicity 4)
O1 0.2329 0.5202 0.6098 (multiplicity 4)
O2 0.2864 0.1595 0.8486 (multiplicity 4)
O3 0.2917 0.7041 0.4168 (multiplicity 4)
O4 0.3032 0.6074 0.1368 (multiplicity 4)

No. 7
La3Pm2TmS6: relaxed, PBE.

Computed properties:
**Density of states at the Fermi level**: 0.476 states/eV/atom
**ΔE_f (raw)**: -2.0893 eV per atom
**Magnetization**: 0.00 Bohr magnetons per cell
**E**: -6.55 eV per atom

abc: 7.0142 12.1745 7.0623
angles: 90.00 109.43 90.00
Space group C2/m (No. 12)
Inequivalent atoms, fractional coordinates:
La1 0.0000 0.0000 0.0000 (multiplicity 2)
La2 0.0000 0.3295 0.0000 (multiplicity 4)
Pm1 0.0000 0.1668 0.5000 (multiplicity 4)
Tm1 0.0000 0.5000 0.5000 (multiplicity 2)
S1 0.2391 0.3387 0.7341 (multiplicity 8)
S2 0.2432 0.5000 0.2623 (multiplicity 4)

No. 8
La5HgPb3: relaxed, PBE.

Computed properties:
**Density of states at the Fermi level**: 1.126 states/eV/atom
**Magnetization**: 3.61 Bohr magnetons per cell
**Formation enthalpy at 0 K**: -0.589 eV/atom
**E**: -4.60 eV per atom

abc: 9.8975 9.8975 6.9434
angles: 90.00 90.00 120.00
Space group P6_3/mcm (No. 193)
Inequivalent atoms, fractional coordinates:
La1 0.0000 0.2836 0.2500 (multiplicity 6)
La2 0.3333 0.6667 0.0000 (multiplicity 4)
Hg1 0.0000 0.0000 0.0000 (multiplicity 2)
Pb1 0.0000 0.3719 0.7500 (multiplicity 6)